(1)
An optimized crystal structure of Nd5Ho6Sc2, computed with GGA-PBE.

M_tot ... 0.00 μB/cell
Calculated formation energy ... 73 kJ/mol of formula units

```
data_Nd5Ho6Sc2
_chemical_formula_sum 'Nd10 Ho12 Sc4'
_space_group_name_H-M_alt 'P b a m'
_space_group_IT_number 55
_cell_length_a 11.319
_cell_length_b 20.428
_cell_length_c 3.599
_cell_angle_alpha 90.00
_cell_angle_beta 90.00
_cell_angle_gamma 90.00
loop_
_space_group_symop_operation_xyz
'x,y,z'
'-x,-y,-z'
'-x,-y,z'
'x,y,-z'
'x+1/2,-y+1/2,-z'
'-x+1/2,y+1/2,z'
'-x+1/2,y+1/2,-z'
'x+1/2,-y+1/2,z'
loop_
_atom_site_label
_atom_site_type_symbol
_atom_site_fract_x
_atom_site_fract_y
_atom_site_fract_z
Nd1 Nd 0.000 0.000 0.000
Nd2 Nd 0.062 0.423 0.000
Nd3 Nd 0.148 0.723 0.000
Ho1 Ho 0.080 0.155 0.000
Ho2 Ho 0.167 0.883 0.500
Ho3 Ho 0.222 0.556 0.500
Sc1 Sc 0.111 0.286 0.500
```



(2)
An optimized crystal structure of Nd3Ho5Sc, computed with GGA-PBE.

M_tot ... 0.00 μB/cell
Calculated formation energy ... 236 kJ/mol of formula units

```
data_Nd3Ho5Sc
_chemical_formula_sum 'Nd12 Ho20 Sc4'
_space_group_name_H-M_alt 'I 4/m c m'
_space_group_IT_number 140
_space_group_name_Hall '-I 4 2c'
_cell_length_a 8.645
_cell_length_b 8.645
_cell_length_c 15.402
_cell_angle_alpha 90.00
_cell_angle_beta 90.00
_cell_angle_gamma 90.00
loop_
_atom_site_label
_atom_site_type_symbol
_atom_site_fract_x
_atom_site_fract_y
_atom_site_fract_z
Nd1 Nd 0.000 0.000 0.250
Nd2 Nd 0.119 0.381 0.000
Ho1 Ho 0.000 0.000 0.000
Ho2 Ho 0.207 0.293 0.360
Sc1 Sc 0.000 0.500 0.250
```



(3)
An optimized crystal structure of NdHo4Sc3, computed with GGA-PBE.

M_tot ... 0.00 μB/cell
Calculated formation energy ... 23 kJ/mol of formula units
E above lowest polymorph ... 0.0 kJ per mole of atoms

```
data_NdHo4Sc3
_chemical_formula_sum 'Nd2 Ho8 Sc6'
_space_group_name_H-M_alt 'P m n 21'
_space_group_IT_number 31
_cell_length_a 10.933
_cell_length_b 7.046
_cell_length_c 6.062
_cell_angle_alpha 90.00
_cell_angle_beta 90.00
_cell_angle_gamma 90.00
loop_
_space_group_symop_operation_xyz
'x,y,z'
'-x+1/2,-y,z+1/2'
'-x,y,z'
'x+1/2,-y,z+1/2'
loop_
_atom_site_label
_atom_site_type_symbol
_atom_site_fract_x
_atom_site_fract_y
_atom_site_fract_z
Nd1 Nd 0.000 0.119 0.000
Ho1 Ho 0.000 0.370 0.497
Ho2 Ho 0.000 0.631 0.991
Ho3 Ho 0.246 0.631 0.336
Sc1 Sc 0.000 0.878 0.502
Sc2 Sc 0.249 0.120 0.330
```



(4)
An optimized crystal structure of Nd4Ho4Sc, computed with GGA-PBE.

M_tot ... 0.00 μB/cell
Calculated formation energy ... 27 kJ/mol of formula units
E above lowest polymorph ... 0.0 kJ per mole of atoms

```
data_Nd4Ho4Sc
_chemical_formula_sum 'Nd8 Ho8 Sc2'
_space_group_name_H-M_alt 'I 4/m m m'
_space_group_IT_number 139
_space_group_name_Hall '-I 4 2'
_cell_length_a 10.716
_cell_length_b 10.716
_cell_length_c 5.016
_cell_angle_alpha 90.00
_cell_angle_beta 90.00
_cell_angle_gamma 90.00
loop_
_atom_site_label
_atom_site_type_symbol
_atom_site_fract_x
_atom_site_fract_y
_atom_site_fract_z
Nd1 Nd 0.164 0.164 0.000
Ho1 Ho 0.000 0.333 0.500
Sc1 Sc 0.000 0.000 0.500
```



Among the records above, which one has the highest calculated formation energy?
Nd3Ho5Sc